# 1
# BeAsOs (PBE-GGA, optimized geometry)
# mass density	11.1	g/cm³
# crystal system	cubic
# E	-0.2247	Ha/atom
data_BeAsOs
_chemical_formula_sum 'Be4 As4 Os4'
_space_group_name_H-M_alt 'F -4 3 m'
_space_group_IT_number 216
_space_group_name_Hall 'F -4 2 3'
_cell_length_a 5.4669
_cell_length_b 5.4669
_cell_length_c 5.4669
_cell_angle_alpha 90.00
_cell_angle_beta 90.00
_cell_angle_gamma 90.00
loop_
_atom_site_label
_atom_site_type_symbol
_atom_site_fract_x
_atom_site_fract_y
_atom_site_fract_z
Be1 Be 0.0000 0.0000 0.0000
As1 As 0.2500 0.2500 0.7500
Os1 Os 0.2500 0.2500 0.2500

=====

# 2
# Be2As3PPt2 (PBE-GGA, optimized geometry)
# mass density	7.6	g/cm³
# crystal system	monoclinic
# E	-0.1822	Ha/atom
data_Be2As3PPt2
_chemical_formula_sum 'Be4 As6 P2 Pt4'
_space_group_name_H-M_alt 'C 1 2 1'
_space_group_IT_number 5
_cell_length_a 11.0321
_cell_length_b 5.8977
_cell_length_c 5.0190
_cell_angle_alpha 90.00
_cell_angle_beta 116.66
_cell_angle_gamma 90.00
loop_
_space_group_symop_operation_xyz
'x,y,z'
'-x,y,-z'
'x+1/2,y+1/2,z'
'-x+1/2,y+1/2,-z'
loop_
_atom_site_label
_atom_site_type_symbol
_atom_site_fract_x
_atom_site_fract_y
_atom_site_fract_z
Be1 Be 0.1384 0.0000 0.3979
As1 As 0.0000 0.7961 0.0000
As2 As 0.2482 0.7416 0.7527
P1 P 0.0000 0.1831 0.5000
Pt1 Pt 0.0925 0.4803 0.8324

=====

# 3
# Be2Re2AsP3 (PBE-GGA, optimized geometry)
# mass density	6.9	g/cm³
# crystal system	monoclinic
# E	-0.2377	Ha/atom
data_Be2Re2AsP3
_chemical_formula_sum 'Be4 Re4 As2 P6'
_space_group_name_H-M_alt 'C 1 2 1'
_space_group_IT_number 5
_cell_length_a 9.9226
_cell_length_b 5.6953
_cell_length_c 4.9581
_cell_angle_alpha 90.00
_cell_angle_beta 106.70
_cell_angle_gamma 90.00
loop_
_space_group_symop_operation_xyz
'x,y,z'
'-x,y,-z'
'x+1/2,y+1/2,z'
'-x+1/2,y+1/2,-z'
loop_
_atom_site_label
_atom_site_type_symbol
_atom_site_fract_x
_atom_site_fract_y
_atom_site_fract_z
Be1 Be 0.1468 0.0000 0.3469
Re1 Re 0.1195 0.4898 0.9065
As1 As 0.0000 0.7332 0.5000
P1 P 0.0000 0.1678 0.0000
P2 P 0.2342 0.2016 0.7199

=====

# 4
# PaBeAs (PBE-GGA, optimized geometry)
# mass density	9.5	g/cm³
# crystal system	cubic
# E	-0.2211	Ha/atom
data_PaBeAs
_chemical_formula_sum 'Pa4 Be4 As4'
_space_group_name_H-M_alt 'F -4 3 m'
_space_group_IT_number 216
_space_group_name_Hall 'F -4 2 3'
_cell_length_a 6.0351
_cell_length_b 6.0351
_cell_length_c 6.0351
_cell_angle_alpha 90.00
_cell_angle_beta 90.00
_cell_angle_gamma 90.00
loop_
_atom_site_label
_atom_site_type_symbol
_atom_site_fract_x
_atom_site_fract_y
_atom_site_fract_z
Pa1 Pa 0.0000 0.0000 0.0000
Be1 Be 0.2500 0.2500 0.7500
As1 As 0.0000 0.0000 0.5000

=====

# 5
# PaBeAs (PBE-GGA, optimized geometry)
# mass density	8.2	g/cm³
# crystal system	cubic
# E	-0.2096	Ha/atom
data_PaBeAs
_chemical_formula_sum 'Pa4 Be4 As4'
_space_group_name_H-M_alt 'F -4 3 m'
_space_group_IT_number 216
_space_group_name_Hall 'F -4 2 3'
_cell_length_a 6.3540
_cell_length_b 6.3540
_cell_length_c 6.3540
_cell_angle_alpha 90.00
_cell_angle_beta 90.00
_cell_angle_gamma 90.00
loop_
_atom_site_label
_atom_site_type_symbol
_atom_site_fract_x
_atom_site_fract_y
_atom_site_fract_z
Pa1 Pa 0.0000 0.0000 0.0000
Be1 Be 0.0000 0.0000 0.5000
As1 As 0.2500 0.2500 0.7500

=====

# 6
# BeReAsPb (PBE-GGA, optimized geometry)
# mass density	11.6	g/cm³
# crystal system	cubic
# E	-0.1894	Ha/atom
data_BeReAsPb
_chemical_formula_sum 'Be4 Re4 As4 Pb4'
_space_group_name_H-M_alt 'F -4 3 m'
_space_group_IT_number 216
_space_group_name_Hall 'F -4 2 3'
_cell_length_a 6.4907
_cell_length_b 6.4907
_cell_length_c 6.4907
_cell_angle_alpha 90.00
_cell_angle_beta 90.00
_cell_angle_gamma 90.00
loop_
_atom_site_label
_atom_site_type_symbol
_atom_site_fract_x
_atom_site_fract_y
_atom_site_fract_z
Be1 Be 0.0000 0.0000 0.0000
Re1 Re 0.0000 0.0000 0.5000
As1 As 0.2500 0.2500 0.7500
Pb1 Pb 0.2500 0.2500 0.2500

=====

# 7
# BeReAsPb (PBE-GGA, optimized geometry)
# mass density	11.5	g/cm³
# crystal system	cubic
# E	-0.1869	Ha/atom
data_BeReAsPb
_chemical_formula_sum 'Be4 Re4 As4 Pb4'
_space_group_name_H-M_alt 'F -4 3 m'
_space_group_IT_number 216
_space_group_name_Hall 'F -4 2 3'
_cell_length_a 6.5021
_cell_length_b 6.5021
_cell_length_c 6.5021
_cell_angle_alpha 90.00
_cell_angle_beta 90.00
_cell_angle_gamma 90.00
loop_
_atom_site_label
_atom_site_type_symbol
_atom_site_fract_x
_atom_site_fract_y
_atom_site_fract_z
Be1 Be 0.0000 0.0000 0.0000
Re1 Re 0.2500 0.2500 0.7500
As1 As 0.0000 0.0000 0.5000
Pb1 Pb 0.2500 0.2500 0.2500

=====

# 8
# BeTcAsPb (PBE-GGA, optimized geometry)
# mass density	9.5	g/cm³
# crystal system	cubic
# E	-0.1796	Ha/atom
data_BeTcAsPb
_chemical_formula_sum 'Be4 Tc4 As4 Pb4'
_space_group_name_H-M_alt 'F -4 3 m'
_space_group_IT_number 216
_space_group_name_Hall 'F -4 2 3'
_cell_length_a 6.4848
_cell_length_b 6.4848
_cell_length_c 6.4848
_cell_angle_alpha 90.00
_cell_angle_beta 90.00
_cell_angle_gamma 90.00
loop_
_atom_site_label
_atom_site_type_symbol
_atom_site_fract_x
_atom_site_fract_y
_atom_site_fract_z
Be1 Be 0.0000 0.0000 0.0000
Tc1 Tc 0.0000 0.0000 0.5000
As1 As 0.2500 0.2500 0.7500
Pb1 Pb 0.2500 0.2500 0.2500

=====

# 9
# BeTcAsPb (PBE-GGA, optimized geometry)
# mass density	9.3	g/cm³
# crystal system	cubic
# E	-0.1760	Ha/atom
data_BeTcAsPb
_chemical_formula_sum 'Be4 Tc4 As4 Pb4'
_space_group_name_H-M_alt 'F -4 3 m'
_space_group_IT_number 216
_space_group_name_Hall 'F -4 2 3'
_cell_length_a 6.5306
_cell_length_b 6.5306
_cell_length_c 6.5306
_cell_angle_alpha 90.00
_cell_angle_beta 90.00
_cell_angle_gamma 90.00
loop_
_atom_site_label
_atom_site_type_symbol
_atom_site_fract_x
_atom_site_fract_y
_atom_site_fract_z
Be1 Be 0.0000 0.0000 0.0000
Tc1 Tc 0.2500 0.2500 0.7500
As1 As 0.0000 0.0000 0.5000
Pb1 Pb 0.2500 0.2500 0.2500

=====

# 10
# Be2AsPd (PBE-GGA, optimized geometry)
# mass density	6.3	g/cm³
# crystal system	cubic
# E	-0.1505	Ha/atom
data_Be2AsPd
_chemical_formula_sum 'Be8 As4 Pd4'
_space_group_name_H-M_alt 'F -4 3 m'
_space_group_IT_number 216
_space_group_name_Hall 'F -4 2 3'
_cell_length_a 5.9409
_cell_length_b 5.9409
_cell_length_c 5.9409
_cell_angle_alpha 90.00
_cell_angle_beta 90.00
_cell_angle_gamma 90.00
loop_
_atom_site_label
_atom_site_type_symbol
_atom_site_fract_x
_atom_site_fract_y
_atom_site_fract_z
Be1 Be 0.0000 0.0000 0.0000
Be2 Be 0.2500 0.2500 0.2500
As1 As 0.2500 0.2500 0.7500
Pd1 Pd 0.0000 0.0000 0.5000

=====

# 11
# BeAsPd2 (PBE-GGA, optimized geometry)
# mass density	8.5	g/cm³
# crystal system	cubic
# E	-0.1734	Ha/atom
data_BeAsPd2
_chemical_formula_sum 'Be4 As4 Pd8'
_space_group_name_H-M_alt 'F -4 3 m'
_space_group_IT_number 216
_space_group_name_Hall 'F -4 2 3'
_cell_length_a 6.1339
_cell_length_b 6.1339
_cell_length_c 6.1339
_cell_angle_alpha 90.00
_cell_angle_beta 90.00
_cell_angle_gamma 90.00
loop_
_atom_site_label
_atom_site_type_symbol
_atom_site_fract_x
_atom_site_fract_y
_atom_site_fract_z
Be1 Be 0.0000 0.0000 0.0000
As1 As 0.2500 0.2500 0.2500
Pd1 Pd 0.0000 0.0000 0.5000
Pd2 Pd 0.2500 0.2500 0.7500

=====

# 12
# PuBeAs (PBE-GGA, optimized geometry)
# mass density	8.6	g/cm³
# crystal system	cubic
# E	-0.2772	Ha/atom
data_PuBeAs
_chemical_formula_sum 'Pu4 Be4 As4'
_space_group_name_H-M_alt 'F -4 3 m'
_space_group_IT_number 216
_space_group_name_Hall 'F -4 2 3'
_cell_length_a 6.3190
_cell_length_b 6.3190
_cell_length_c 6.3190
_cell_angle_alpha 90.00
_cell_angle_beta 90.00
_cell_angle_gamma 90.00
loop_
_atom_site_label
_atom_site_type_symbol
_atom_site_fract_x
_atom_site_fract_y
_atom_site_fract_z
Pu1 Pu 0.0000 0.0000 0.0000
Be1 Be 0.0000 0.0000 0.5000
As1 As 0.2500 0.2500 0.7500